Record 1
Li8Tl2In, optimized geometry, DFT PBE; D(E_F) = 4.7 states/eV/f.u.; energy of formation = -0.212 eV/atom
1.0
7.557 -2.316 0.000
7.557 2.316 0.000
-0.838 0.000 5.962
Li Tl In
8 2 1
Cartesian
0.375 0.000 1.449
1.561 0.000 4.047
4.364 0.000 3.528
6.095 0.000 0.250
8.181 0.000 5.712
9.912 0.000 2.434
12.715 0.000 1.915
13.901 0.000 4.513
3.163 0.000 0.916
11.113 0.000 5.046
7.138 0.000 2.981

---

Record 2
Li11Tl9In4, optimized geometry, DFT PBE; D(E_F) = 8.7 states/eV/f.u.; energy of formation = -0.203 eV/atom
1.0
7.451 -10.558 0.000
7.451 10.558 0.000
0.000 0.000 3.310
Li Tl In
11 9 4
Cartesian
0.000 0.000 0.000
3.370 3.795 0.000
7.451 6.746 0.000
3.283 0.000 0.000
7.451 2.717 0.000
3.370 -3.795 0.000
11.533 3.795 0.000
7.451 -2.717 0.000
11.619 0.000 0.000
7.451 -6.746 0.000
11.533 -3.795 0.000
1.669 1.892 1.655
5.780 4.850 1.655
1.669 -1.892 1.655
9.122 4.850 1.655
7.451 0.000 1.655
5.780 -4.850 1.655
13.234 1.892 1.655
9.122 -4.850 1.655
13.234 -1.892 1.655
4.948 1.805 1.655
4.948 -1.805 1.655
9.955 1.805 1.655
9.955 -1.805 1.655

---

Record 3
Li4Tl2In3, optimized geometry, DFT PBE; D(E_F) = 4.0 states/eV/f.u.; energy of formation = -0.201 eV/atom
1.0
4.428 -2.345 0.000
4.428 2.345 0.000
-1.119 0.000 9.340
Li Tl In
4 2 3
Cartesian
-0.245 0.000 3.075
2.948 0.000 1.094
4.788 0.000 8.246
7.981 0.000 6.264
1.900 0.000 7.458
5.836 0.000 1.882
0.000 0.000 0.000
2.515 0.000 4.069
5.220 0.000 5.271

---

Record 4
Li4TlIn2, optimized geometry, DFT PBE; D(E_F) = 3.1 states/eV/f.u.; energy of formation = -0.049 eV/atom
1.0
2.730 -5.663 0.000
2.730 5.663 0.000
0.000 0.000 5.154
Li Tl In
4 1 2
Cartesian
2.730 4.190 0.000
2.730 2.531 2.577
2.730 -2.531 2.577
2.730 -4.190 0.000
0.000 0.000 2.577
2.730 1.406 0.000
2.730 -1.406 0.000

---

Record 5
LiTlIn2, optimized geometry, DFT PBE; D(E_F) = 2.1 states/eV/f.u.; energy of formation = -0.096 eV/atom
1.0
3.329 0.000 0.000
0.000 3.329 0.000
0.000 0.000 8.794
Li Tl In
1 1 2
Cartesian
0.000 0.000 0.000
0.000 0.000 4.397
1.664 1.664 1.795
1.664 1.664 6.999

---

Record 6
Li8TlIn2, optimized geometry, DFT PBE; D(E_F) = 3.4 states/eV/f.u.; energy of formation = -0.165 eV/atom
1.0
3.811 -7.048 0.000
3.811 7.048 0.000
-2.893 0.000 3.910
Li Tl In
8 1 2
Cartesian
-0.317 1.825 2.756
3.811 4.180 0.000
-0.317 -1.825 2.756
2.675 0.000 0.797
2.054 0.000 3.114
5.046 1.825 1.154
3.811 -4.180 0.000
5.046 -1.825 1.154
0.000 0.000 0.000
2.365 2.616 1.955
2.365 -2.616 1.955

---

Record 7
Li3Tl2In, optimized geometry, DFT PBE; D(E_F) = 1.5 states/eV/f.u.; energy of formation = -0.230 eV/atom
1.0
3.266 0.000 0.000
0.000 3.266 0.000
0.000 0.000 11.734
Li Tl In
3 2 1
Cartesian
0.000 0.000 0.000
0.000 0.000 3.955
0.000 0.000 7.779
1.633 1.633 1.985
1.633 1.633 9.749
1.633 1.633 5.867

---

Record 8
Li3TlIn3, optimized geometry, DFT PBE; D(E_F) = 2.8 states/eV/f.u.; energy of formation = -0.134 eV/atom
1.0
3.858 -4.374 0.000
3.858 4.374 0.000
-1.960 0.000 9.437
Li Tl In
6 2 6
Cartesian
3.858 2.921 0.000
2.878 2.578 4.719
0.756 0.000 8.594
5.000 0.000 0.844
2.878 -2.578 4.719
3.858 -2.921 0.000
1.345 0.000 5.351
4.411 0.000 4.087
-0.310 0.000 2.515
2.324 1.574 1.905
3.432 1.574 7.533
2.324 -1.574 1.905
3.432 -1.574 7.533
6.066 0.000 6.923

---

Record 9
Li3TlIn, optimized geometry, DFT PBE; D(E_F) = 1.8 states/eV/f.u.; energy of formation = -0.196 eV/atom
1.0
4.841 0.000 0.000
0.000 6.302 0.000
-2.416 0.000 6.685
Li Tl In
6 2 2
Cartesian
0.003 1.575 0.003
-0.002 0.016 2.563
-0.002 3.135 2.563
2.427 3.167 4.122
2.427 6.286 4.122
2.422 4.726 6.682
0.011 1.575 5.142
2.414 4.726 1.542
0.002 4.726 5.111
2.423 1.575 1.573

---

Record 10
LiTlIn2, optimized geometry, DFT PBE; D(E_F) = 1.2 states/eV/f.u.; energy of formation = -0.063 eV/atom
1.0
1.723 0.995 9.811
-1.723 0.995 9.811
0.000 -1.989 9.811
Li Tl In
1 1 2
Cartesian
0.000 0.000 0.000
0.000 0.000 4.867
0.000 0.000 12.023
0.000 0.000 17.379

---

Record 11
LiTlIn2, optimized geometry, DFT PBE; D(E_F) = 1.0 states/eV/f.u.; energy of formation = -0.092 eV/atom
1.0
5.543 -1.753 0.000
5.543 1.753 0.000
-1.134 0.000 5.125
Li Tl In
1 1 2
Cartesian
0.000 0.000 0.000
4.976 0.000 2.562
2.087 0.000 3.924
7.864 0.000 1.200

---

Record 12
LiTlIn2, optimized geometry, DFT PBE; D(E_F) = 1.9 states/eV/f.u.; energy of formation = -0.080 eV/atom
1.0
0.000 3.689 3.689
3.689 0.000 3.689
3.689 3.689 0.000
Li Tl In
1 1 2
Cartesian
0.000 0.000 0.000
1.844 1.844 1.844
3.689 3.689 3.689
5.533 5.533 5.533

---

Please write out number 7 again, unchanged.
Li3Tl2In, optimized geometry, DFT PBE; D(E_F) = 1.5 states/eV/f.u.; energy of formation = -0.230 eV/atom
1.0
3.266 0.000 0.000
0.000 3.266 0.000
0.000 0.000 11.734
Li Tl In
3 2 1
Cartesian
0.000 0.000 0.000
0.000 0.000 3.955
0.000 0.000 7.779
1.633 1.633 1.985
1.633 1.633 9.749
1.633 1.633 5.867